#A
NaZr3Cd: optimized geometry, PBE.

```
NaZr3Cd
1.0
-3.342 2.299 3.513
2.736 -2.213 4.052
3.184 4.315 0.206
Na Zr Cd
1 3 1
direct
0.500 0.500 0.500 Na
0.000 0.500 0.000 Zr
0.000 0.000 0.500 Zr
0.500 0.000 0.000 Zr
0.000 0.000 0.000 Cd
```

#B
NaZr3Cd: optimized geometry, PBE.

```
NaZr3Cd
1.0
5.015 0.000 0.000
0.000 5.015 0.000
0.000 0.000 5.015
Na Zr Cd
1 3 1
direct
0.000 0.000 0.000 Na
0.000 0.500 0.000 Zr
0.000 0.000 0.500 Zr
0.500 0.000 0.000 Zr
0.500 0.500 0.500 Cd
```

Most stable to least stable, the ends of the list are #A and #B.

#A
Na3ZrCd: optimized geometry, PBE.

```
Na3ZrCd
1.0
-2.637 0.796 -4.841
-3.199 -4.447 1.011
-3.721 3.259 2.562
Na Zr Cd
3 1 1
direct
0.000 0.500 0.000 Na
0.000 0.000 0.500 Na
0.500 0.000 0.000 Na
0.500 0.500 0.500 Zr
0.000 0.000 0.000 Cd
```

#B
Na3ZrCd: optimized geometry, PBE.

```
Na3ZrCd
1.0
-2.852 3.485 4.246
2.951 -3.064 4.496
4.633 4.096 -0.249
Na Zr Cd
3 1 1
direct
0.000 0.500 0.000 Na
0.000 0.000 0.500 Na
0.500 0.000 0.000 Na
0.000 0.000 0.000 Zr
0.500 0.500 0.500 Cd
```

Most stable to least stable, the ends of the list are #A and #B.

#A
NbCd2Ni2: optimized geometry, PBE.

```
NbCd2Ni2
1.0
6.347 0.000 0.000
0.000 6.347 0.000
0.000 0.000 4.147
Ni Nb Cd
4 2 4
direct
0.371 0.871 0.000 Ni
0.871 0.629 0.000 Ni
0.629 0.129 0.000 Ni
0.129 0.371 0.000 Ni
0.000 0.000 0.000 Nb
0.500 0.500 0.000 Nb
0.174 0.674 0.500 Cd
0.674 0.826 0.500 Cd
0.826 0.326 0.500 Cd
0.326 0.174 0.500 Cd
```

#B
NbCd2Ni2: optimized geometry, PBE.

```
NbCd2Ni2
1.0
-5.503 -1.253 -5.109
5.260 -1.412 -5.319
-0.027 -2.708 0.693
Ni Nb Cd
4 2 4
direct
0.173 0.673 0.500 Ni
0.673 0.827 0.500 Ni
0.827 0.327 0.500 Ni
0.327 0.173 0.500 Ni
0.000 0.000 0.000 Nb
0.500 0.500 0.000 Nb
0.372 0.872 0.000 Cd
0.872 0.628 0.000 Cd
0.628 0.128 0.000 Cd
0.128 0.372 0.000 Cd
```

#C
NbCd2Ni2: optimized geometry, PBE.

```
NbCd2Ni2
1.0
-2.629 1.492 0.983
-1.787 -2.220 -1.408
-2.137 -5.052 7.093
Ni Nb Cd
2 1 2
direct
0.750 0.250 0.500 Ni
0.250 0.750 0.500 Ni
0.000 0.000 0.000 Nb
0.380 0.380 0.241 Cd
0.620 0.620 0.759 Cd
```

Most stable to least stable, the ends of the list are #A and #C.